# 1
Below is FeCu2Bi2 after structural relaxation, with properties calculated at the PBE-GGA level.

Cell lengths 7.3471, 7.3471, 3.8182 Å; angles 90.00, 90.00, 90.00 degrees
Sites, in units of the cell vectors:
Bi 0.3245 0.8245 0.0000
Bi 0.8245 0.6755 0.0000
Bi 0.6755 0.1755 0.0000
Bi 0.1755 0.3245 0.0000
Cu 0.1216 0.6216 0.5000
Cu 0.6216 0.8784 0.5000
Cu 0.8784 0.3784 0.5000
Cu 0.3784 0.1216 0.5000
Fe 0.0000 0.0000 0.0000
Fe 0.5000 0.5000 0.0000

Calculated values
The electronic total energy is -0.1599 hartree per atom. The value obtained for the energy above the most stable polymorph in this dataset is 0.108 eV per atom. The value obtained for the total moment is 2.65 μB/f.u. The value obtained for the formation energy from the elements is 533 meV per atom.

# 2
Below is NaZr2Ru after structural relaxation, with properties calculated at the PBE-GGA level.

Cell lengths 4.7839, 4.7839, 4.7839 Å; angles 60.00, 60.00, 60.00 degrees
Sites, in units of the cell vectors:
Ru 0.5000 0.5000 0.5000
Zr 0.2500 0.2500 0.2500
Zr 0.7500 0.7500 0.7500
Na 0.0000 0.0000 0.0000

Calculated values
The electronic total energy is -0.2505 hartree per atom. The value obtained for the energy above the most stable polymorph in this dataset is 0.000 eV per atom. The value obtained for the total moment is 0.00 μB/f.u. The value obtained for the formation energy from the elements is 107 meV per atom.

# 3
Below is Ga2AsP after structural relaxation, with properties calculated at the PBE-GGA level.

Cell lengths 4.6432, 4.6432, 4.6432 Å; angles 60.00, 60.00, 60.00 degrees
Sites, in units of the cell vectors:
P 0.0000 0.0000 0.0000
As 0.5000 0.5000 0.5000
Ga 0.2500 0.2500 0.2500
Ga 0.7500 0.7500 0.7500

Calculated values
The electronic total energy is -0.1379 hartree per atom. The value obtained for the energy above the most stable polymorph in this dataset is 0.655 eV per atom. The value obtained for the total moment is 0.00 μB/f.u. The value obtained for the formation energy from the elements is 277 meV per atom.

# 4
Below is Hf3SbAs after structural relaxation, with properties calculated at the PBE-GGA level.

Cell lengths 4.9592, 4.9592, 4.9592 Å; angles 90.00, 90.00, 90.00 degrees
Sites, in units of the cell vectors:
Sb 0.5000 0.5000 0.5000
As 0.0000 0.0000 0.0000
Hf 0.0000 0.5000 0.0000
Hf 0.0000 0.0000 0.5000
Hf 0.5000 0.0000 0.0000

Calculated values
The electronic total energy is -0.2774 hartree per atom. The value obtained for the energy above the most stable polymorph in this dataset is 0.757 eV per atom. The value obtained for the total moment is 0.00 μB/f.u. The formation energy (no corrections) comes out at 0.18 eV per atom.

# 5
Below is Pm8SmSi4 after structural relaxation, with properties calculated at the PBE-GGA level.

Cell lengths 6.3102, 8.1208, 8.1208 Å; angles 81.32, 67.14, 67.14 degrees
Sites, in units of the cell vectors:
Pm 0.0000 0.3254 0.6746
Pm 0.0000 0.6746 0.3254
Pm 0.3254 0.6746 0.6746
Pm 0.6746 0.3254 0.3254
Pm 0.5000 0.7870 0.2130
Pm 0.5000 0.2130 0.7870
Pm 0.2870 0.2130 0.2130
Pm 0.7130 0.7870 0.7870
Sm 0.0000 0.0000 0.0000
Si 0.0000 0.0000 0.5000
Si 0.5000 0.0000 0.5000
Si 0.0000 0.5000 0.0000
Si 0.5000 0.5000 0.0000

Calculated values
The electronic total energy is -0.1929 hartree per atom. The value obtained for the total moment is 0.00 μB/f.u. The formation energy (no corrections) comes out at -0.29 eV per atom.

# 6
Below is LaMg3In4 after structural relaxation, with properties calculated at the PBE-GGA level.

Cell lengths 5.0434, 7.9353, 10.0934 Å; angles 90.00, 90.00, 90.00 degrees
Sites, in units of the cell vectors:
Mg 0.0000 0.0000 0.0000
Mg 0.0000 0.0000 0.5000
Mg 0.5011 0.0000 0.7500
Mg 0.4989 0.0000 0.2500
Mg 0.5003 0.5000 0.7500
Mg 0.4997 0.5000 0.2500
In 0.5000 0.7737 0.0000
In 0.5000 0.7737 0.5000
In 0.5000 0.2263 0.0000
In 0.5000 0.2263 0.5000
In 0.0007 0.7736 0.7500
In 0.9993 0.7736 0.2500
In 0.9993 0.2264 0.2500
In 0.0007 0.2264 0.7500
La 0.0000 0.5000 0.0000
La 0.0000 0.5000 0.5000

Calculated values
The electronic total energy is -0.1039 hartree per atom. The value obtained for the total moment is 0.00 μB/f.u. The value obtained for the formation energy from the elements is -245 meV per atom.